Entry 1:
## Li5Zn2Ag4 (GGA-PBE)

Data for an optimized crystal structure of Li5Zn2Ag4.

Properties
As for the excess energy over the best structure of this formula in the dataset: 115 meV per atom. The formation energy is -0.040 eV per atom. The space-group type is No. 71.

Unit cell a=2.848 b=8.094 c=9.959 alpha=113.98 beta=98.22 gamma=90.00
Atoms (fractional coordinates):
Ag 0.405 0.405 0.811
Ag 0.595 0.595 0.189
Ag 0.000 0.725 0.000
Ag 0.000 0.275 0.000
Zn 0.740 0.740 0.479
Zn 0.260 0.260 0.521
Li 0.846 0.620 0.692
Li 0.154 0.380 0.308
Li 0.154 0.928 0.308
Li 0.500 0.000 0.000
Li 0.846 0.072 0.692

Entry 2:
## NdDy2Er3Te6 (GGA-PBE)

Data for an optimized crystal structure of NdDy2Er3Te6.

Properties
The formation energy (no corrections) comes out at -1.270 eV per atom. The space-group type is No. 12.

Unit cell a=4.329 b=8.784 c=9.774 alpha=103.57 beta=102.79 gamma=90.00
Atoms (fractional coordinates):
Nd 0.500 0.000 0.000
Er 0.162 0.832 0.324
Er 0.838 0.168 0.676
Er 0.500 0.500 0.000
Dy 0.836 0.672 0.672
Dy 0.164 0.328 0.328
Te 0.333 0.416 0.665
Te 0.328 0.917 0.655
Te 0.000 0.261 0.001
Te 0.000 0.739 0.999
Te 0.667 0.584 0.335
Te 0.672 0.083 0.345

Entry 3:
## KTl2 (GGA-PBE)

Data for an optimized crystal structure of KTl2.

Properties
As for the excess energy over the best structure of this formula in the dataset: 0 meV per atom. The formation energy is -0.114 eV per atom. The space-group type is No. 74.

Unit cell a=5.301 b=6.897 c=6.897 alpha=77.70 beta=67.40 gamma=67.40
Atoms (fractional coordinates):
Tl 0.839 0.597 0.726
Tl 0.161 0.774 0.903
Tl 0.161 0.403 0.274
Tl 0.839 0.226 0.097
K 0.441 0.809 0.309
K 0.559 0.191 0.691